*one*
Entry from Alexandria via LeMat-Bulk: Gd3Ho after structural relaxation (PBE-GGA).

Unit cell a=5.682 b=5.682 c=5.682 alpha=60.00 beta=60.00 gamma=60.00
Last column: magnetic moment on the atom in μB.
Atoms (fractional coordinates):
Gd (0.000, 0.000, 0.000)  -6.95
Gd (0.750, 0.750, 0.750)  7.28
Gd (0.250, 0.250, 0.250)  7.28
Ho (0.500, 0.500, 0.500)  0.32

For the density, the calculation gives 8.15 g cm⁻³. Its crystal system is cubic. The calculation puts the total moment at 8.7 μB per cell. Its space group is No. 225. The value obtained for the density of states at the Fermi level is 7.55 states/eV/f.u.

*two*
Entry from Alexandria via LeMat-Bulk: Gd3Ho after structural relaxation (PBE-GGA).

Unit cell a=5.040 b=5.040 c=5.040 alpha=90.00 beta=90.00 gamma=90.00
Last column: magnetic moment on the atom in μB.
Atoms (fractional coordinates):
Gd (0.000, 0.500, 0.500)  7.13
Gd (0.500, 0.000, 0.500)  7.13
Gd (0.500, 0.500, 0.000)  7.13
Ho (0.000, 0.000, 0.000)  -0.04

For the density, the calculation gives 8.26 g cm⁻³. Its crystal system is cubic. The calculation puts the total moment at 22.0 μB per cell. Its space group is No. 221. The value obtained for the density of states at the Fermi level is 8.01 states/eV/f.u.

*three*
Entry from Alexandria via LeMat-Bulk: Gd3Ho after structural relaxation (PBE-GGA).

Unit cell a=3.622 b=6.260 c=6.804 alpha=117.39 beta=105.44 gamma=90.00
Last column: magnetic moment on the atom in μB.
Atoms (fractional coordinates):
Gd (0.251, 0.586, 0.502)  -7.30
Gd (0.500, 0.500, 0.000)  -7.32
Gd (0.749, 0.083, 0.498)  -7.30
Ho (0.000, 0.998, 0.000)  -0.18

For the density, the calculation gives 8.09 g cm⁻³. Its crystal system is orthorhombic. The calculation puts the total moment at 23.3 μB per cell. Its space group is No. 44. The value obtained for the density of states at the Fermi level is 6.33 states/eV/f.u.

Winner for stability: *three*

*one*
Entry from Alexandria via LeMat-Bulk: GdHo3 after structural relaxation (PBE-GGA).

Unit cell a=3.604 b=6.246 c=6.706 alpha=117.76 beta=105.59 gamma=90.00
Last column: magnetic moment on the atom in μB.
Atoms (fractional coordinates):
Gd (0.000, 0.998, 0.000)  7.27
Ho (0.247, 0.581, 0.495)  0.09
Ho (0.500, 0.501, 0.000)  0.08
Ho (0.753, 0.087, 0.505)  0.09

For the density, the calculation gives 8.51 g cm⁻³. Its crystal system is orthorhombic. The calculation puts the total moment at 8.0 μB per cell. Its space group is No. 44. The value obtained for the density of states at the Fermi level is 7.43 states/eV/f.u.

*two*
Entry from Alexandria via LeMat-Bulk: GdHo3 after structural relaxation (PBE-GGA).

Unit cell a=5.000 b=5.000 c=5.000 alpha=90.00 beta=90.00 gamma=90.00
Last column: magnetic moment on the atom in μB.
Atoms (fractional coordinates):
Gd (0.000, 0.000, 0.000)  7.13
Ho (0.000, 0.500, 0.500)  -0.06
Ho (0.500, 0.000, 0.500)  -0.06
Ho (0.500, 0.500, 0.000)  -0.06

For the density, the calculation gives 8.66 g cm⁻³. Its crystal system is cubic. The calculation puts the total moment at 7.1 μB per cell. Its space group is No. 221. The value obtained for the density of states at the Fermi level is 6.66 states/eV/f.u.

*three*
Entry from Alexandria via LeMat-Bulk: GdHo3 after structural relaxation (PBE-GGA).

Unit cell a=5.644 b=5.644 c=5.644 alpha=60.00 beta=60.00 gamma=60.00
Last column: magnetic moment on the atom in μB.
Atoms (fractional coordinates):
Gd (0.500, 0.500, 0.500)  7.34
Ho (0.000, 0.000, 0.000)  0.25
Ho (0.750, 0.750, 0.750)  0.29
Ho (0.250, 0.250, 0.250)  0.29

For the density, the calculation gives 8.52 g cm⁻³. Its crystal system is cubic. The calculation puts the total moment at 8.8 μB per cell. Its space group is No. 225. The value obtained for the density of states at the Fermi level is 8.00 states/eV/f.u.

Winner for stability: *one*